# Ba3In5Pd6 (PBE-GGA, relaxed)
data_Ba3In5Pd6
_chemical_formula_sum 'Ba6 In10 Pd12'
_cell_length_a 4.7622
_cell_length_b 10.4731
_cell_length_c 13.7953
_cell_angle_alpha 90.00
_cell_angle_beta 90.00
_cell_angle_gamma 90.00
_symmetry_space_group_name_H-M 'I m m m'
_symmetry_Int_Tables_number 71
_symmetry_space_group_name_Hall '-I 2 2'
loop_
_atom_site_label
_atom_site_type_symbol
_atom_site_fract_x
_atom_site_fract_y
_atom_site_fract_z
Ba1 Ba 0.0000 0.0000 0.0000
Ba2 Ba 0.0000 0.0000 0.3081
In1 In 0.0000 0.3293 0.3259
In2 In 0.0000 0.5000 0.0000
Pd1 Pd 0.0000 0.1873 0.5000
Pd2 Pd 0.0000 0.2812 0.1148
# E_form in eV/atom: -0.57
# D(E_F) in states/eV per atom: 0.496